(1)
The following is a DFT calculation (PBE-GGA) of an optimized crystal structure of Th2GaSn.

abc: 4.308 6.210 9.078
angles: 111.80 90.00 90.00
Fractional coordinates of all 8 atoms:
Sn 0.750 0.662 0.789
Th 0.250 0.776 0.077
Th 0.750 0.213 0.435
Sn 0.250 0.338 0.211
Ga 0.250 0.329 0.707
Ga 0.750 0.671 0.293
Th 0.250 0.787 0.565
Th 0.750 0.224 0.923

* space group: No. 11
* E above lowest polymorph: 0 meV per atom
* formation enthalpy at 0 K: -0.54 eV per atom

=====

(2)
The following is a DFT calculation (PBE-GGA) of an optimized crystal structure of Th3GaSn.

abc: 6.277 8.099 8.213
angles: 62.14 66.16 53.64
Fractional coordinates of all 10 atoms:
Th 0.263 0.613 0.334
Ga 0.282 0.173 0.437
Th 0.135 0.821 0.716
Th 0.672 0.838 0.197
Th 0.328 0.162 0.803
Th 0.737 0.387 0.666
Sn 0.296 0.383 0.068
Sn 0.704 0.617 0.932
Ga 0.718 0.827 0.563
Th 0.865 0.179 0.284

* space group: No. 2
* formation enthalpy at 0 K: -0.28 eV per atom

=====

(3)
The following is a DFT calculation (PBE-GGA) of an optimized crystal structure of Th2Ga2Sn.

abc: 7.461 7.461 9.030
angles: 90.00 90.00 90.00
Fractional coordinates of all 20 atoms:
Th 0.176 0.676 0.000
Ga 0.877 0.623 0.250
Ga 0.123 0.377 0.250
Ga 0.623 0.123 0.750
Ga 0.623 0.123 0.250
Th 0.824 0.324 0.000
Th 0.176 0.676 0.500
Sn 0.000 0.000 0.250
Th 0.324 0.176 0.500
Ga 0.877 0.623 0.750
Sn 0.000 0.000 0.750
Th 0.676 0.824 0.500
Th 0.324 0.176 0.000
Ga 0.377 0.877 0.250
Ga 0.123 0.377 0.750
Sn 0.500 0.500 0.750
Ga 0.377 0.877 0.750
Sn 0.500 0.500 0.250
Th 0.676 0.824 0.000
Th 0.824 0.324 0.500

* space group: No. 127
* E above lowest polymorph: 0 meV per atom
* formation enthalpy at 0 K: -0.54 eV per atom

=====

(4)
The following is a DFT calculation (PBE-GGA) of an optimized crystal structure of Th4GaSn2.

abc: 4.388 7.616 7.962
angles: 117.33 106.00 90.00
Fractional coordinates of all 7 atoms:
Th 0.891 0.247 0.782
Sn 0.235 0.225 0.470
Sn 0.765 0.775 0.530
Ga 0.000 0.000 0.000
Th 0.109 0.753 0.218
Th 0.608 0.311 0.216
Th 0.392 0.689 0.784

* space group: No. 12
* formation enthalpy at 0 K: -0.20 eV per atom

=====

(5)
The following is a DFT calculation (PBE-GGA) of an optimized crystal structure of Th7Ga2Sn2.

abc: 7.118 7.047 7.118
angles: 89.99 104.31 90.01
Fractional coordinates of all 11 atoms:
Th 0.000 0.725 0.500
Th 0.500 0.725 0.000
Ga 0.728 0.000 0.272
Th 0.500 0.275 0.000
Th 0.000 0.000 0.000
Sn 0.170 0.500 0.170
Th 0.000 0.275 0.500
Th 0.500 0.750 0.500
Ga 0.272 0.000 0.728
Th 0.500 0.250 0.500
Sn 0.830 0.500 0.830

* space group: No. 65
* formation enthalpy at 0 K: -0.05 eV per atom

=====

(6)
The following is a DFT calculation (PBE-GGA) of an optimized crystal structure of Th5GaSn2.

abc: 7.066 9.184 6.774
angles: 132.59 121.28 90.09
Fractional coordinates of all 8 atoms:
Th 0.722 0.724 0.944
Ga 0.224 0.224 0.447
Sn 0.726 0.226 0.452
Th 0.222 0.724 0.944
Th 0.721 0.720 0.441
Th 0.722 0.220 0.944
Sn 0.219 0.719 0.437
Th 0.222 0.220 0.944

* space group: No. 8
* formation enthalpy at 0 K: -0.32 eV per atom

=====

(7)
The following is a DFT calculation (PBE-GGA) of an optimized crystal structure of Th4GaSn.

abc: 6.007 7.708 8.860
angles: 105.22 109.82 90.00
Fractional coordinates of all 12 atoms:
Ga 0.000 0.500 0.500
Th 0.036 0.118 0.332
Th 0.295 0.618 0.332
Sn 0.897 0.750 0.000
Th 0.705 0.382 0.668
Th 0.535 0.033 0.843
Th 0.309 0.533 0.843
Ga 0.500 0.000 0.500
Th 0.465 0.967 0.157
Th 0.691 0.467 0.157
Sn 0.103 0.250 0.000
Th 0.964 0.882 0.668

* space group: No. 15
* E above lowest polymorph: 308 meV per atom
* formation enthalpy at 0 K: -0.09 eV per atom

=====

(8)
The following is a DFT calculation (PBE-GGA) of an optimized crystal structure of Th2GaSn.

abc: 3.561 3.561 10.377
angles: 80.12 80.12 60.00
Fractional coordinates of all 4 atoms:
Sn 0.500 0.500 0.500
Th 0.255 0.255 0.234
Ga 0.000 0.000 0.000
Th 0.745 0.745 0.766

* space group: No. 166
* E above lowest polymorph: 270 meV per atom
* formation enthalpy at 0 K: -0.27 eV per atom